# 1
Below is an optimized crystal structure of BaZnP2, with properties calculated at the PBE level.

Its size of the total moment is 0.000 μB/atom. The formation energy from the elements comes out at 0.14 eV per atom. Its space group is No. 160. As for the uncorrected energy: -3.3687 eV per atom.

a = 8.9310 Å, b = 8.9310 Å, c = 8.9310 Å
α = 22.72°, β = 22.72°, γ = 22.72°
Fractional positions:
Ba 0.7449 0.7449 0.7449
P 0.9743 0.9743 0.9743
P 0.2623 0.2623 0.2623
Zn 0.5185 0.5185 0.5185


# 2
Below is an optimized crystal structure of BaMn2Au, with properties calculated at the PBE level.

Its size of the total moment is 2.147 μB/atom. The formation energy from the elements comes out at 0.40 eV per atom. Its space group is No. 10. As for the uncorrected energy: -5.4837 eV per atom.

a = 4.7071 Å, b = 4.4493 Å, c = 5.4690 Å
α = 76.79°, β = 90.00°, γ = 90.00°
Fractional positions:
Au 0.5000 0.2500 0.2500
Ba 0.5000 0.7500 0.7500
Mn 0.0000 0.0873 0.0737
Mn 0.0000 0.4127 0.4263


# 3
Below is an optimized crystal structure of TlFeAsSe2, with properties calculated at the PBE level.

Its size of the total moment is 0.000 μB/atom. Its space group is No. 123. As for the uncorrected energy: -4.2761 eV per atom. The raw formation energy comes out at 0.213 eV per atom.

a = 5.0289 Å, b = 5.0289 Å, c = 4.4204 Å
α = 90.00°, β = 90.00°, γ = 90.00°
Fractional positions:
Tl 0.5000 0.5000 0.5000
As 0.0000 0.0000 0.5000
Se 0.0000 0.5000 0.0000
Se 0.5000 0.0000 0.0000
Fe 0.0000 0.0000 0.0000